The following is a DFT calculation (GGA-PBE) of a relaxed LiFe2Rh crystal.

The space group is Pmmm (No. 47) and the conventional cell measures 2.959, 4.003 and 4.198 Å, with angles of 90.00, 90.00 and 90.00 degrees. The distinct sites, in fractional coordinates, are Li at (0.000, 0.000, 0.000), Fe at (0.000, 0.500, 0.500), Fe at (0.500, 0.000, 0.500) and Rh at (0.500, 0.500, 0.000).

For the formation energy, the calculation gives 0.052 eV per atom. The crystal system is orthorhombic.

The following is a DFT calculation (GGA-PBE) of a relaxed LiFe2Rh8 crystal.

The space group is Immm (No. 71) and the conventional cell measures 3.993, 6.811 and 11.280 Å, with angles of 90.00, 90.00 and 90.00 degrees. The distinct sites, in fractional coordinates, are Li at (0.000, 0.000, 0.000), Fe at (0.000, 0.000, 0.298), Rh at (0.000, 0.190, 0.500), Rh at (0.000, 0.286, 0.155) and Rh at (0.000, 0.500, 0.355).

For the formation energy, the calculation gives 0.079 eV per atom. The crystal system is orthorhombic.

The following is a DFT calculation (GGA-PBE) of a relaxed LiFe2Rh crystal.

The space group is Cmmm (No. 65) and the conventional cell measures 5.101, 7.561 and 2.628 Å, with angles of 90.00, 90.00 and 90.00 degrees. The distinct sites, in fractional coordinates, are Li at (0.000, 0.000, 0.000), Fe at (0.250, 0.250, 0.500) and Rh at (0.000, 0.500, 0.000).

For the formation energy, the calculation gives 0.057 eV per atom. The crystal system is orthorhombic.

The following is a DFT calculation (GGA-PBE) of a relaxed LiFeRh crystal.

The space group is P6_3/mmc (No. 194) and the conventional cell measures 4.1231, 4.1231 and 9.1467 Å, with angles of 90.00, 90.00 and 120.00 degrees. The distinct sites, in fractional coordinates, are Li at (0.3333, 0.6667, 0.2500), Fe at (0.0000, 0.0000, 0.2500) and Rh at (0.0000, 0.0000, 0.0000).

For the formation energy, the calculation gives 1.484 eV per atom. The crystal system is hexagonal. Its distance to the lowest polymorph of the same formula is 1534 meV per atom.

The following is a DFT calculation (GGA-PBE) of a relaxed LiFe2Rh crystal.

The space group is Pm (No. 6) and the conventional cell measures 2.577, 4.127 and 4.826 Å, with angles of 90.00, 97.91 and 90.00 degrees. The distinct sites, in fractional coordinates, are Li at (0.000, 0.000, 0.000), Fe at (0.186, 0.500, 0.742), Fe at (0.471, 0.000, 0.503) and Rh at (0.705, 0.500, 0.240).

For the formation energy, the calculation gives 0.072 eV per atom. The crystal system is monoclinic.

The following is a DFT calculation (GGA-PBE) of a relaxed LiFe2Rh crystal.

The space group is C2/m (No. 12) and the conventional cell measures 4.980, 8.392 and 2.572 Å, with angles of 90.00, 109.04 and 90.00 degrees. The distinct sites, in fractional coordinates, are Li at (0.000, 0.000, 0.000), Fe at (0.250, 0.250, 0.500) and Rh at (0.000, 0.500, 0.000).

For the formation energy, the calculation gives 0.067 eV per atom. The crystal system is monoclinic.

The following is a DFT calculation (GGA-PBE) of a relaxed LiFeRh crystal.

The space group is Cmmm (No. 65) and the conventional cell measures 4.226, 13.108 and 2.943 Å, with angles of 90.00, 90.00 and 90.00 degrees. The distinct sites, in fractional coordinates, are Li at (0.000, 0.000, 0.000), Li at (0.000, 0.500, 0.500), Fe at (0.000, 0.170, 0.500) and Rh at (0.000, 0.333, 0.000).

For the formation energy, the calculation gives -0.023 eV per atom. The crystal system is orthorhombic. Its distance to the lowest polymorph of the same formula is 27 meV per atom.

The following is a DFT calculation (GGA-PBE) of a relaxed LiFe2Rh crystal.

The space group is P4/mmm (No. 123) and the conventional cell measures 3.030, 3.030 and 5.532 Å, with angles of 90.00, 90.00 and 90.00 degrees. The distinct sites, in fractional coordinates, are Li at (0.000, 0.000, 0.000), Fe at (0.500, 0.500, 0.233) and Rh at (0.000, 0.000, 0.500).

For the formation energy, the calculation gives 0.165 eV per atom. The crystal system is tetragonal.

The following is a DFT calculation (GGA-PBE) of a relaxed LiFe2Rh2 crystal.

The space group is P4/mbm (No. 127) and the conventional cell measures 7.303, 7.303 and 2.704 Å, with angles of 90.00, 90.00 and 90.00 degrees. The distinct sites, in fractional coordinates, are Li at (0.000, 0.000, 0.000), Fe at (0.147, 0.353, 0.000) and Rh at (0.149, 0.649, 0.500).

For the formation energy, the calculation gives 0.033 eV per atom. The crystal system is tetragonal.

The following is a DFT calculation (GGA-PBE) of a relaxed LiFe2Rh crystal.

The space group is P4/mmm (No. 123) and the conventional cell measures 2.630, 2.630 and 7.839 Å, with angles of 90.00, 90.00 and 90.00 degrees. The distinct sites, in fractional coordinates, are Li at (0.000, 0.000, 0.000), Fe at (0.500, 0.500, 0.263) and Rh at (0.000, 0.000, 0.500).

For the formation energy, the calculation gives 0.200 eV per atom. The crystal system is tetragonal.

The following is a DFT calculation (GGA-PBE) of a relaxed LiFeRh2 crystal.

The space group is Immm (No. 71) and the conventional cell measures 2.855, 4.543 and 8.389 Å, with angles of 90.00, 90.00 and 90.00 degrees. The distinct sites, in fractional coordinates, are Li at (0.000, 0.000, 0.000), Fe at (0.000, 0.000, 0.500) and Rh at (0.000, 0.500, 0.241).

For the formation energy, the calculation gives -0.013 eV per atom. The crystal system is orthorhombic. Its distance to the lowest polymorph of the same formula is 112 meV per atom.

The following is a DFT calculation (GGA-PBE) of a relaxed LiFeRh crystal.

The space group is P6_3/mmc (No. 194) and the conventional cell measures 4.3258, 4.3258 and 5.0510 Å, with angles of 90.00, 90.00 and 120.00 degrees. The distinct sites, in fractional coordinates, are Li at (0.0000, 0.0000, 0.0000), Fe at (0.3333, 0.6667, 0.2500) and Rh at (0.3333, 0.6667, 0.7500).

For the formation energy, the calculation gives 0.036 eV per atom. The crystal system is hexagonal. Its distance to the lowest polymorph of the same formula is 85 meV per atom.